# PBE ScAl7Fe4, optimized geometry
# Energy (eV/atom): -5.73
data_ScAl7Fe4
_chemical_formula_sum 'Sc1 Al7 Fe4'
_cell_length_a 4.8809
_cell_length_b 5.3449
_cell_length_c 6.7574
_cell_angle_alpha 91.99
_cell_angle_beta 104.70
_cell_angle_gamma 92.75
_space_group_name_H-M_alt 'P -1'
_space_group_IT_number 2
_space_group_name_Hall '-P 1'
loop_
_atom_site_label
_atom_site_type_symbol
_atom_site_fract_x
_atom_site_fract_y
_atom_site_fract_z
Sc1 Sc 0.0000 0.0000 0.0000
Al1 Al 0.0000 0.5000 0.0000
Al2 Al 0.2212 0.9768 0.6548
Al3 Al 0.3266 0.3147 0.3600
Al4 Al 0.4893 0.7414 0.0155
Fe1 Fe 0.1628 0.4718 0.6808
Fe2 Fe 0.2866 0.7935 0.3379

---

# PBE ScAlFe, optimized geometry
# Energy (eV/atom): -6.14
data_ScAlFe
_chemical_formula_sum 'Sc1 Al1 Fe1'
_cell_length_a 3.0458
_cell_length_b 3.0458
_cell_length_c 6.2238
_cell_angle_alpha 90.00
_cell_angle_beta 90.00
_cell_angle_gamma 120.00
_space_group_name_H-M_alt 'P 3 m 1'
_space_group_IT_number 156
_space_group_name_Hall 'P 3 -2"'
loop_
_atom_site_label
_atom_site_type_symbol
_atom_site_fract_x
_atom_site_fract_y
_atom_site_fract_z
Sc1 Sc 0.0000 0.0000 0.0000
Al1 Al 0.6667 0.3333 0.3984
Fe1 Fe 0.3333 0.6667 0.6852

---

# PBE ScAl12Fe5, optimized geometry
# Energy (eV/atom): -5.43
data_ScAl12Fe5
_chemical_formula_sum 'Sc2 Al24 Fe10'
_cell_length_a 7.4055
_cell_length_b 8.1192
_cell_length_c 8.9352
_cell_angle_alpha 90.00
_cell_angle_beta 90.00
_cell_angle_gamma 90.00
_space_group_name_H-M_alt 'I m m m'
_space_group_IT_number 71
_space_group_name_Hall '-I 2 2'
loop_
_atom_site_label
_atom_site_type_symbol
_atom_site_fract_x
_atom_site_fract_y
_atom_site_fract_z
Sc1 Sc 0.0000 0.0000 0.0000
Al1 Al 0.0000 0.2950 0.1688
Al2 Al 0.1788 0.2744 0.5000
Al3 Al 0.1936 0.0000 0.2594
Fe1 Fe 0.0000 0.0000 0.5000
Fe2 Fe 0.0000 0.5000 0.3660
Fe3 Fe 0.1665 0.5000 0.0000

---

# PBE ScAlFe, optimized geometry
# Energy (eV/atom): -6.58
data_ScAlFe
_chemical_formula_sum 'Sc4 Al4 Fe4'
_cell_length_a 5.1438
_cell_length_b 5.2409
_cell_length_c 7.0641
_cell_angle_alpha 90.00
_cell_angle_beta 90.00
_cell_angle_gamma 90.00
_space_group_name_H-M_alt 'I m m a'
_space_group_IT_number 74
_space_group_name_Hall '-I 2b 2'
loop_
_atom_site_label
_atom_site_type_symbol
_atom_site_fract_x
_atom_site_fract_y
_atom_site_fract_z
Sc1 Sc 0.0000 0.2500 0.1132
Al1 Al 0.0000 0.0000 0.5000
Fe1 Fe 0.2500 0.2500 0.7500

---

# PBE Sc4Al3Fe, optimized geometry
# Energy (eV/atom): -6.02
data_Sc4Al3Fe
_chemical_formula_sum 'Sc4 Al3 Fe1'
_cell_length_a 3.2360
_cell_length_b 3.2360
_cell_length_c 13.9731
_cell_angle_alpha 90.00
_cell_angle_beta 90.00
_cell_angle_gamma 90.00
_space_group_name_H-M_alt 'P 4/m m m'
_space_group_IT_number 123
_space_group_name_Hall '-P 4 2'
loop_
_atom_site_label
_atom_site_type_symbol
_atom_site_fract_x
_atom_site_fract_y
_atom_site_fract_z
Sc1 Sc 0.0000 0.0000 0.1048
Sc2 Sc 0.0000 0.0000 0.3677
Al1 Al 0.5000 0.5000 0.2361
Al2 Al 0.5000 0.5000 0.5000
Fe1 Fe 0.5000 0.5000 0.0000

---

# PBE ScAl2Fe, optimized geometry
# Energy (eV/atom): -5.75
data_ScAl2Fe
_chemical_formula_sum 'Sc2 Al4 Fe2'
_cell_length_a 3.5518
_cell_length_b 4.2781
_cell_length_c 8.3977
_cell_angle_alpha 90.00
_cell_angle_beta 90.00
_cell_angle_gamma 90.00
_space_group_name_H-M_alt 'I m m 2'
_space_group_IT_number 44
_space_group_name_Hall 'I 2 -2'
loop_
_atom_site_label
_atom_site_type_symbol
_atom_site_fract_x
_atom_site_fract_y
_atom_site_fract_z
Sc1 Sc 0.0000 0.0000 0.0000
Al1 Al 0.0000 0.0000 0.5256
Al2 Al 0.0000 0.5000 0.7667
Fe1 Fe 0.0000 0.5000 0.2567

---

# PBE ScAl2Fe, optimized geometry
# Energy (eV/atom): -5.61
data_ScAl2Fe
_chemical_formula_sum 'Sc3 Al6 Fe3'
_cell_length_a 2.9163
_cell_length_b 2.9163
_cell_length_c 26.9314
_cell_angle_alpha 90.00
_cell_angle_beta 90.00
_cell_angle_gamma 120.00
_space_group_name_H-M_alt 'R -3 m'
_space_group_IT_number 166
_space_group_name_Hall '-R 3 2"'
loop_
_atom_site_label
_atom_site_type_symbol
_atom_site_fract_x
_atom_site_fract_y
_atom_site_fract_z
Sc1 Sc 0.0000 0.0000 0.0000
Al1 Al 0.0000 0.0000 0.2396
Fe1 Fe 0.0000 0.0000 0.5000

---

# PBE ScAlFe2, optimized geometry
# Energy (eV/atom): -6.34
data_ScAlFe2
_chemical_formula_sum 'Sc4 Al4 Fe8'
_cell_length_a 4.1365
_cell_length_b 4.3908
_cell_length_c 17.1036
_cell_angle_alpha 90.00
_cell_angle_beta 90.00
_cell_angle_gamma 90.00
_space_group_name_H-M_alt 'I m m a'
_space_group_IT_number 74
_space_group_name_Hall '-I 2b 2'
loop_
_atom_site_label
_atom_site_type_symbol
_atom_site_fract_x
_atom_site_fract_y
_atom_site_fract_z
Sc1 Sc 0.0000 0.2500 0.1678
Al1 Al 0.0000 0.2500 0.6251
Fe1 Fe 0.0000 0.0000 0.5000
Fe2 Fe 0.2500 0.2500 0.7500

---

# PBE ScAlFe3, optimized geometry
# E above lowest polymorph (meV per atom): 653
data_ScAlFe3
_chemical_formula_sum 'Sc1 Al1 Fe3'
_cell_length_a 4.3983
_cell_length_b 4.3983
_cell_length_c 4.3983
_cell_angle_alpha 90.00
_cell_angle_beta 90.00
_cell_angle_gamma 90.00
_space_group_name_H-M_alt 'P m -3 m'
_space_group_IT_number 221
_space_group_name_Hall '-P 4 2 3'
loop_
_atom_site_label
_atom_site_type_symbol
_atom_site_fract_x
_atom_site_fract_y
_atom_site_fract_z
Sc1 Sc 0.0000 0.0000 0.0000
Al1 Al 0.5000 0.5000 0.5000
Fe1 Fe 0.0000 0.0000 0.5000

---

# PBE ScAlFe2, optimized geometry
# Energy (eV/atom): -6.96
data_ScAlFe2
_chemical_formula_sum 'Sc1 Al1 Fe2'
_cell_length_a 3.0508
_cell_length_b 3.0508
_cell_length_c 6.4175
_cell_angle_alpha 90.00
_cell_angle_beta 90.00
_cell_angle_gamma 90.00
_space_group_name_H-M_alt 'P 4 m m'
_space_group_IT_number 99
_space_group_name_Hall 'P 4 -2'
loop_
_atom_site_label
_atom_site_type_symbol
_atom_site_fract_x
_atom_site_fract_y
_atom_site_fract_z
Sc1 Sc 0.0000 0.0000 0.0000
Al1 Al 0.5000 0.5000 0.3301
Fe1 Fe 0.0000 0.0000 0.5437
Fe2 Fe 0.5000 0.5000 0.7383

---

# PBE ScAl2Fe, optimized geometry
# Energy (eV/atom): -5.84
data_ScAl2Fe
_chemical_formula_sum 'Sc4 Al8 Fe4'
_cell_length_a 6.1996
_cell_length_b 6.1996
_cell_length_c 6.1996
_cell_angle_alpha 90.00
_cell_angle_beta 90.00
_cell_angle_gamma 90.00
_space_group_name_H-M_alt 'F m -3 m'
_space_group_IT_number 225
_space_group_name_Hall '-F 4 2 3'
loop_
_atom_site_label
_atom_site_type_symbol
_atom_site_fract_x
_atom_site_fract_y
_atom_site_fract_z
Sc1 Sc 0.0000 0.0000 0.0000
Al1 Al 0.2500 0.2500 0.2500
Fe1 Fe 0.0000 0.0000 0.5000

---

# PBE ScAl2Fe, optimized geometry
# Energy (eV/atom): -5.81
data_ScAl2Fe
_chemical_formula_sum 'Sc2 Al4 Fe2'
_cell_length_a 8.8016
_cell_length_b 3.3351
_cell_length_c 4.6938
_cell_angle_alpha 90.00
_cell_angle_beta 110.09
_cell_angle_gamma 90.00
_space_group_name_H-M_alt 'C 1 2/m 1'
_space_group_IT_number 12
_space_group_name_Hall '-C 2y'
loop_
_atom_site_label
_atom_site_type_symbol
_atom_site_fract_x
_atom_site_fract_y
_atom_site_fract_z
Sc1 Sc 0.0000 0.0000 0.0000
Al1 Al 0.2248 0.0000 0.6939
Fe1 Fe 0.0000 0.5000 0.5000